1.
# Pr2YErSc

An optimized crystal structure of Pr2YErSc (PBE, Alexandria via LeMat-Bulk).

The structure in POSCAR format:
```
Pr2YErSc
1.0
7.229 0.000 0.000
0.000 8.202 0.000
0.000 -4.101 5.720
Y Pr Sc Er
2 4 2 2
direct
0.250 0.252 0.504 Y
0.750 0.748 0.496 Y
0.000 0.299 0.000 Pr
0.500 0.299 0.000 Pr
0.500 0.701 0.000 Pr
0.000 0.701 0.000 Pr
0.250 0.980 0.960 Sc
0.750 0.020 0.040 Sc
0.250 0.721 0.442 Er
0.750 0.279 0.558 Er
```

E_form (eV per atom): 0.372
Symmetry: Cmcm (63)


2.
# Pr3Y6ErSc2

An optimized crystal structure of Pr3Y6ErSc2 (PBE, Alexandria via LeMat-Bulk).

The structure in POSCAR format:
```
Pr3Y6ErSc2
1.0
-2.248 5.265 -2.305
-3.707 -3.848 3.090
4.574 4.944 9.590
Y Sc Er Pr
6 2 1 3
direct
0.080 0.416 0.240 Y
0.920 0.584 0.760 Y
0.256 0.256 0.760 Y
0.744 0.744 0.240 Y
0.416 0.080 0.240 Y
0.584 0.920 0.760 Y
0.333 0.667 0.000 Sc
0.667 0.333 0.000 Sc
0.000 0.000 0.000 Er
0.167 0.833 0.500 Pr
0.500 0.500 0.500 Pr
0.833 0.167 0.500 Pr
```

E_form (eV per atom): 0.045
Symmetry: C2/m (12)


3.
# PrY2Er5Sc

An optimized crystal structure of PrY2Er5Sc (PBE, Alexandria via LeMat-Bulk).

The structure in POSCAR format:
```
PrY2Er5Sc
1.0
5.568 0.000 0.000
-2.784 9.785 0.000
0.000 0.000 10.369
Sc Y Er Pr
2 4 10 2
direct
0.198 0.395 0.014 Sc
0.802 0.605 0.514 Sc
0.111 0.222 0.316 Y
0.887 0.773 0.233 Y
0.889 0.778 0.816 Y
0.113 0.227 0.733 Y
0.702 0.405 0.206 Er
0.278 0.556 0.321 Er
0.020 0.040 0.022 Er
0.519 0.038 0.238 Er
0.622 0.244 0.520 Er
0.481 0.962 0.738 Er
0.298 0.595 0.706 Er
0.722 0.444 0.821 Er
0.980 0.960 0.522 Er
0.378 0.756 0.020 Er
0.585 0.170 0.954 Pr
0.415 0.830 0.454 Pr
```

E_form (eV per atom): 0.175
Symmetry: Cmc2_1 (36)


4.
# PrY3ErSc

An optimized crystal structure of PrY3ErSc (PBE, Alexandria via LeMat-Bulk).

The structure in POSCAR format:
```
PrY3ErSc
1.0
4.979 0.000 0.000
-2.489 7.499 0.000
0.000 0.000 10.042
Pr Y Er Sc
2 6 2 2
direct
0.503 0.007 0.250 Pr
0.497 0.993 0.750 Pr
0.667 0.334 0.499 Y
0.830 0.661 0.250 Y
0.667 0.334 0.001 Y
0.333 0.666 0.501 Y
0.170 0.339 0.750 Y
0.333 0.666 0.999 Y
0.000 0.000 0.500 Er
0.000 0.000 0.000 Er
0.168 0.335 0.250 Sc
0.832 0.665 0.750 Sc
```

E_form (eV per atom): 0.044
Symmetry: Cmcm (63)


5.
# PrY2ErSc4

An optimized crystal structure of PrY2ErSc4 (PBE, Alexandria via LeMat-Bulk).

The structure in POSCAR format:
```
PrY2ErSc4
1.0
8.951 -0.004 -1.686
-0.011 8.951 -1.686
-5.657 -5.661 8.012
Y Sc Pr Er
4 8 2 2
direct
0.500 0.000 0.000 Y
0.000 0.000 0.500 Y
0.500 0.500 0.000 Y
0.500 0.000 0.500 Y
0.753 0.251 0.502 Sc
0.248 0.252 0.000 Sc
0.752 0.748 0.500 Sc
0.752 0.748 0.000 Sc
0.248 0.252 0.500 Sc
0.247 0.749 0.498 Sc
0.249 0.747 0.998 Sc
0.751 0.253 0.002 Sc
0.500 0.500 0.500 Pr
0.000 0.000 0.000 Pr
0.000 0.500 0.500 Er
0.000 0.500 0.000 Er
```

E_form (eV per atom): 0.436
Symmetry: Imma (74)


6.
# PrY2Er6Sc3

An optimized crystal structure of PrY2Er6Sc3 (PBE, Alexandria via LeMat-Bulk).

The structure in POSCAR format:
```
PrY2Er6Sc3
1.0
6.033 0.000 0.027
-3.015 5.226 0.027
-1.056 -1.829 11.275
Sc Y Er Pr
3 2 6 1
direct
0.500 0.500 0.500 Sc
0.833 0.167 0.500 Sc
0.167 0.833 0.500 Sc
0.667 0.333 0.000 Y
0.333 0.667 0.000 Y
0.087 0.421 0.261 Er
0.913 0.579 0.739 Er
0.579 0.913 0.739 Er
0.246 0.246 0.739 Er
0.754 0.754 0.261 Er
0.421 0.087 0.261 Er
0.000 0.000 0.000 Pr
```

E_form (eV per atom): 0.048
Symmetry: C2/m (12)


7.
# PrY6Er2Sc

An optimized crystal structure of PrY6Er2Sc (PBE, Alexandria via LeMat-Bulk).

The structure in POSCAR format:
```
PrY6Er2Sc
1.0
8.466 -1.546 -1.604
1.044 8.797 -2.181
1.044 -2.505 8.710
Y Er Pr Sc
12 4 2 2
direct
0.706 0.954 0.540 Y
0.409 0.524 0.267 Y
0.794 0.460 0.046 Y
0.591 0.476 0.733 Y
0.448 0.209 0.868 Y
0.552 0.791 0.132 Y
0.052 0.132 0.791 Y
0.294 0.046 0.460 Y
0.206 0.540 0.954 Y
0.091 0.733 0.476 Y
0.948 0.868 0.209 Y
0.909 0.267 0.524 Y
0.559 0.212 0.323 Er
0.059 0.323 0.212 Er
0.941 0.677 0.788 Er
0.441 0.788 0.677 Er
0.250 0.967 0.033 Pr
0.750 0.033 0.967 Pr
0.750 0.557 0.443 Sc
0.250 0.443 0.557 Sc
```

E_form (eV per atom): 0.120
Symmetry: C2/c (15)


8.
# Pr2Y5ErSc

An optimized crystal structure of Pr2Y5ErSc (PBE, Alexandria via LeMat-Bulk).

The structure in POSCAR format:
```
Pr2Y5ErSc
1.0
-2.829 4.652 -1.155
-7.127 -6.663 4.026
2.018 3.587 9.508
Y Er Sc Pr
10 2 2 4
direct
0.517 0.033 0.240 Y
0.270 0.540 0.331 Y
0.702 0.403 0.198 Y
0.985 0.970 0.514 Y
0.483 0.967 0.740 Y
0.730 0.460 0.831 Y
0.015 0.030 0.014 Y
0.298 0.597 0.698 Y
0.633 0.266 0.520 Y
0.367 0.734 0.020 Y
0.405 0.811 0.455 Er
0.595 0.189 0.955 Er
0.809 0.618 0.517 Sc
0.191 0.382 0.017 Sc
0.883 0.767 0.234 Pr
0.117 0.233 0.734 Pr
0.112 0.224 0.314 Pr
0.888 0.776 0.814 Pr
```

E_form (eV per atom): 0.146
Symmetry: Cmc2_1 (36)


9.
# Pr3Y6Er2Sc

An optimized crystal structure of Pr3Y6Er2Sc (PBE, Alexandria via LeMat-Bulk).

The structure in POSCAR format:
```
Pr3Y6Er2Sc
1.0
-4.764 -3.877 -0.840
5.169 -0.670 -3.356
4.212 -5.585 9.508
Er Y Pr Sc
2 6 3 1
direct
0.667 0.333 0.000 Er
0.333 0.667 0.000 Er
0.589 0.920 0.757 Y
0.749 0.749 0.243 Y
0.411 0.080 0.243 Y
0.080 0.411 0.243 Y
0.920 0.589 0.757 Y
0.251 0.251 0.757 Y
0.500 0.500 0.500 Pr
0.167 0.833 0.500 Pr
0.833 0.167 0.500 Pr
0.000 0.000 0.000 Sc
```

E_form (eV per atom): 0.034
Symmetry: C2/m (12)


10.
# PrYEr2Sc2

An optimized crystal structure of PrYEr2Sc2 (PBE, Alexandria via LeMat-Bulk).

The structure in POSCAR format:
```
PrYEr2Sc2
1.0
5.480 0.000 0.000
0.000 9.538 0.000
0.000 0.000 6.788
Er Pr Sc Y
4 2 4 2
direct
0.500 0.167 0.747 Er
0.000 0.333 0.247 Er
0.000 0.667 0.753 Er
0.500 0.833 0.253 Er
0.000 0.000 0.000 Pr
0.500 0.500 0.500 Pr
0.500 0.833 0.750 Sc
0.000 0.667 0.250 Sc
0.500 0.167 0.250 Sc
0.000 0.333 0.750 Sc
0.500 0.500 0.000 Y
0.000 0.000 0.500 Y
```

E_form (eV per atom): 0.077
Symmetry: Pnnm (58)


11.
# Pr2Y3Er6Sc

An optimized crystal structure of Pr2Y3Er6Sc (PBE, Alexandria via LeMat-Bulk).

The structure in POSCAR format:
```
Pr2Y3Er6Sc
1.0
-1.650 -5.646 1.689
4.050 0.778 -4.522
7.832 1.396 8.632
Er Pr Y Sc
6 2 3 1
direct
0.587 0.917 0.750 Er
0.413 0.083 0.250 Er
0.247 0.247 0.750 Er
0.917 0.587 0.750 Er
0.753 0.753 0.250 Er
0.083 0.413 0.250 Er
0.666 0.334 0.000 Pr
0.334 0.666 0.000 Pr
0.500 0.500 0.500 Y
0.166 0.834 0.500 Y
0.834 0.166 0.500 Y
0.000 0.000 0.000 Sc
```

E_form (eV per atom): 0.031
Symmetry: C2/m (12)


12.
# Pr2YEr5Sc

An optimized crystal structure of Pr2YEr5Sc (PBE, Alexandria via LeMat-Bulk).

The structure in POSCAR format:
```
Pr2YEr5Sc
1.0
-5.248 5.105 -4.322
-5.398 0.013 6.569
8.965 3.707 1.856
Er Sc Pr Y
10 2 4 2
direct
0.500 0.500 0.000 Er
0.646 0.146 0.713 Er
0.433 0.354 0.287 Er
0.146 0.067 0.713 Er
0.567 0.646 0.713 Er
0.854 0.933 0.287 Er
0.000 0.000 0.000 Er
0.354 0.854 0.287 Er
0.067 0.567 0.713 Er
0.933 0.433 0.287 Er
0.750 0.250 0.500 Sc
0.250 0.750 0.500 Sc
0.620 0.120 0.000 Pr
0.880 0.620 0.000 Pr
0.120 0.380 0.000 Pr
0.380 0.880 0.000 Pr
0.750 0.750 0.500 Y
0.250 0.250 0.500 Y
```

E_form (eV per atom): 0.272
Symmetry: I4/mcm (140)


13.
# PrY3Er6Sc2

An optimized crystal structure of PrY3Er6Sc2 (PBE, Alexandria via LeMat-Bulk).

The structure in POSCAR format:
```
PrY3Er6Sc2
1.0
6.055 0.002 0.010
-3.024 5.245 0.010
-1.024 -1.773 11.440
Y Er Pr Sc
3 6 1 2
direct
0.833 0.167 0.500 Y
0.167 0.833 0.500 Y
0.500 0.500 0.500 Y
0.582 0.918 0.754 Er
0.254 0.254 0.754 Er
0.418 0.082 0.246 Er
0.082 0.418 0.246 Er
0.918 0.582 0.754 Er
0.746 0.746 0.246 Er
0.000 0.000 0.000 Pr
0.333 0.667 0.000 Sc
0.667 0.333 0.000 Sc
```

E_form (eV per atom): 0.042
Symmetry: C2/m (12)


14.
# Pr2Y4ErSc

An optimized crystal structure of Pr2Y4ErSc (PBE, Alexandria via LeMat-Bulk).

The structure in POSCAR format:
```
Pr2Y4ErSc
1.0
-2.530 4.007 -1.761
0.562 -1.719 -4.717
-8.040 -6.789 -3.896
Y Er Sc Pr
4 1 1 2
direct
0.000 0.754 0.746 Y
0.000 0.246 0.254 Y
0.500 0.254 0.746 Y
0.500 0.746 0.254 Y
0.500 0.500 0.000 Er
0.000 0.500 0.500 Sc
0.500 0.000 0.500 Pr
0.000 0.000 0.000 Pr
```

E_form (eV per atom): 0.039
Symmetry: P4/mmm (123)


15.
# PrY4Er2Sc

An optimized crystal structure of PrY4Er2Sc (PBE, Alexandria via LeMat-Bulk).

The structure in POSCAR format:
```
PrY4Er2Sc
1.0
-4.129 8.428 0.701
-6.081 -2.104 -6.867
3.916 -6.894 8.584
Y Pr Sc Er
8 2 2 4
direct
0.757 0.240 0.998 Y
0.747 0.751 0.988 Y
0.243 0.760 0.002 Y
0.253 0.249 0.012 Y
0.740 0.257 0.498 Y
0.260 0.743 0.502 Y
0.749 0.753 0.512 Y
0.251 0.247 0.488 Y
0.000 0.500 0.000 Pr
0.000 0.500 0.500 Pr
0.000 0.000 0.000 Sc
0.500 0.500 0.500 Sc
0.000 0.000 0.500 Er
0.500 0.500 0.000 Er
0.500 0.000 0.500 Er
0.500 0.000 0.000 Er
```

E_form (eV per atom): 0.437
Symmetry: C2/c (15)


16.
# PrYErSc

An optimized crystal structure of PrYErSc (PBE, Alexandria via LeMat-Bulk).

The structure in POSCAR format:
```
PrYErSc
1.0
-3.659 4.174 -0.667
-4.403 0.431 3.418
-0.233 4.140 3.751
Pr Er Sc Y
1 1 1 1
direct
0.250 0.250 0.250 Pr
0.500 0.500 0.500 Er
0.000 0.000 0.000 Sc
0.750 0.750 0.750 Y
```

E_form (eV per atom): 0.106
Symmetry: F-43m (216)


17.
# Pr2YEr4Sc

An optimized crystal structure of Pr2YEr4Sc (PBE, Alexandria via LeMat-Bulk).

The structure in POSCAR format:
```
Pr2YEr4Sc
1.0
5.027 0.000 0.000
0.000 4.940 0.908
0.000 3.143 10.675
Y Er Pr Sc
1 4 2 1
direct
0.500 0.500 0.000 Y
0.500 0.745 0.255 Er
0.500 0.255 0.745 Er
0.000 0.244 0.256 Er
0.000 0.756 0.744 Er
0.500 0.000 0.500 Pr
0.000 0.000 0.000 Pr
0.000 0.500 0.500 Sc
```

E_form (eV per atom): 0.040
Symmetry: P4/mmm (123)


18.
# PrYErSc

An optimized crystal structure of PrYErSc (PBE, Alexandria via LeMat-Bulk).

The structure in POSCAR format:
```
PrYErSc
1.0
-2.498 1.743 -2.336
2.660 -2.164 -4.459
-5.997 -2.663 1.263
Pr Y Er Sc
1 1 1 1
direct
0.650 0.413 0.827 Pr
0.426 0.135 0.270 Y
0.192 0.871 0.742 Er
0.917 0.645 0.291 Sc
```

E_form (eV per atom): 0.105
Symmetry: Cm (8)


19.
# PrErZrSc

An optimized crystal structure of PrErZrSc (PBE, Alexandria via LeMat-Bulk).

The structure in POSCAR format:
```
PrErZrSc
1.0
-3.694 -1.139 -3.767
-4.642 -2.370 1.402
-4.617 2.789 -0.183
Zr Er Sc Pr
1 1 1 1
direct
0.000 0.000 0.000 Zr
0.250 0.250 0.250 Er
0.750 0.750 0.750 Sc
0.500 0.500 0.500 Pr
```

E_form (eV per atom): 0.190
Symmetry: F-43m (216)


20.
# PrErSe3

An optimized crystal structure of PrErSe3 (PBE, Alexandria via LeMat-Bulk).

The structure in POSCAR format:
```
PrErSe3
1.0
4.159 0.000 0.000
0.000 7.758 0.000
0.000 0.000 16.103
Er Se Pr
4 12 4
direct
0.750 0.228 0.457 Er
0.250 0.772 0.543 Er
0.250 0.272 0.957 Er
0.750 0.728 0.043 Er
0.750 0.123 0.061 Se
0.750 0.848 0.214 Se
0.250 0.652 0.714 Se
0.250 0.010 0.395 Se
0.250 0.877 0.939 Se
0.750 0.990 0.605 Se
0.250 0.510 0.105 Se
0.750 0.348 0.286 Se
0.250 0.152 0.786 Se
0.250 0.377 0.561 Se
0.750 0.490 0.895 Se
0.750 0.623 0.439 Se
0.750 0.359 0.700 Pr
0.750 0.859 0.800 Pr
0.250 0.641 0.300 Pr
0.250 0.141 0.200 Pr
```

E_form (uncorrected) (eV/atom): -1.88
Symmetry: Pnma (62)